Entry P
Here is crystalline Sn2PS at its relaxed geometry from Alexandria. Energies are from PBE.

```
data_Sn2PS
_chemical_formula_sum 'Sn6 P3 S3'
_space_group_name_H-M_alt 'R 3 m'
_space_group_IT_number 160
_space_group_name_Hall 'R 3 -2"'
_cell_length_a 3.8720
_cell_length_b 3.8720
_cell_length_c 22.3936
_cell_angle_alpha 90.00
_cell_angle_beta 90.00
_cell_angle_gamma 120.00
loop_
_atom_site_label
_atom_site_fract_x
_atom_site_fract_y
_atom_site_fract_z
Sn1 0.0000 0.0000 0.0000
Sn2 0.0000 0.0000 0.1842
P1 0.0000 0.0000 0.5993
S1 0.0000 0.0000 0.7842
```

Entry Q
Here is crystalline Sn2PS at its relaxed geometry from Alexandria. Energies are from PBE.

```
data_Sn2PS
_chemical_formula_sum 'Sn8 P4 S4'
_space_group_name_H-M_alt 'F m -3 m'
_space_group_IT_number 225
_space_group_name_Hall '-F 4 2 3'
_cell_length_a 6.940
_cell_length_b 6.940
_cell_length_c 6.940
_cell_angle_alpha 90.00
_cell_angle_beta 90.00
_cell_angle_gamma 90.00
loop_
_atom_site_label
_atom_site_fract_x
_atom_site_fract_y
_atom_site_fract_z
Sn1 0.250 0.250 0.250
P1 0.000 0.000 0.000
S1 0.000 0.000 0.500
```

Entry R
Here is crystalline Sn2PS at its relaxed geometry from Alexandria. Energies are from PBE.

```
data_Sn2PS
_chemical_formula_sum 'Sn8 P4 S4'
_space_group_name_H-M_alt 'I -4 2 d'
_space_group_IT_number 122
_space_group_name_Hall 'I -4 2bw'
_cell_length_a 7.094
_cell_length_b 7.094
_cell_length_c 8.269
_cell_angle_alpha 90.00
_cell_angle_beta 90.00
_cell_angle_gamma 90.00
loop_
_atom_site_label
_atom_site_fract_x
_atom_site_fract_y
_atom_site_fract_z
Sn1 0.241 0.250 0.125
P1 0.000 0.000 0.000
S1 0.000 0.000 0.500
```

Which one sits at the top of the stability order? entry P does.

Entry P
Here is crystalline SnPS2 at its relaxed geometry from Alexandria. Energies are from PBE.

```
data_SnPS2
_chemical_formula_sum 'Sn3 P3 S6'
_space_group_name_H-M_alt 'R -3 m'
_space_group_IT_number 166
_space_group_name_Hall '-R 3 2"'
_cell_length_a 3.4475
_cell_length_b 3.4475
_cell_length_c 25.1255
_cell_angle_alpha 90.00
_cell_angle_beta 90.00
_cell_angle_gamma 120.00
loop_
_atom_site_label
_atom_site_fract_x
_atom_site_fract_y
_atom_site_fract_z
Sn1 0.0000 0.0000 0.0000
P1 0.0000 0.0000 0.5000
S1 0.0000 0.0000 0.1117
```

Entry Q
Here is crystalline SnPS2 at its relaxed geometry from Alexandria. Energies are from PBE.

```
data_SnPS2
_chemical_formula_sum 'Sn4 P4 S8'
_space_group_name_H-M_alt 'F m -3 m'
_space_group_IT_number 225
_space_group_name_Hall '-F 4 2 3'
_cell_length_a 6.661
_cell_length_b 6.661
_cell_length_c 6.661
_cell_angle_alpha 90.00
_cell_angle_beta 90.00
_cell_angle_gamma 90.00
loop_
_atom_site_label
_atom_site_fract_x
_atom_site_fract_y
_atom_site_fract_z
Sn1 0.000 0.000 0.000
P1 0.000 0.000 0.500
S1 0.250 0.250 0.250
```

Which one sits at the top of the stability order? entry P does.

Entry P
Here is crystalline SnP2S2 at its relaxed geometry from Alexandria. Energies are from PBE.

```
data_SnP2S2
_chemical_formula_sum 'Sn1 P2 S2'
_space_group_name_H-M_alt 'P 4/m m m'
_space_group_IT_number 123
_space_group_name_Hall '-P 4 2'
_cell_length_a 4.623
_cell_length_b 4.623
_cell_length_c 4.545
_cell_angle_alpha 90.00
_cell_angle_beta 90.00
_cell_angle_gamma 90.00
loop_
_atom_site_label
_atom_site_fract_x
_atom_site_fract_y
_atom_site_fract_z
Sn1 0.000 0.000 0.000
P1 0.500 0.500 0.000
P2 0.500 0.500 0.500
S1 0.000 0.500 0.500
```

Entry Q
Here is crystalline SnP2S2 at its relaxed geometry from Alexandria. Energies are from PBE.

```
data_SnP2S2
_chemical_formula_sum 'Sn1 P2 S2'
_space_group_name_H-M_alt 'P 4/m m m'
_space_group_IT_number 123
_space_group_name_Hall '-P 4 2'
_cell_length_a 4.903
_cell_length_b 4.903
_cell_length_c 5.120
_cell_angle_alpha 90.00
_cell_angle_beta 90.00
_cell_angle_gamma 90.00
loop_
_atom_site_label
_atom_site_fract_x
_atom_site_fract_y
_atom_site_fract_z
Sn1 0.000 0.000 0.000
P1 0.000 0.000 0.500
P2 0.500 0.500 0.500
S1 0.000 0.500 0.000
```

Entry R
Here is crystalline SnP2S2 at its relaxed geometry from Alexandria. Energies are from PBE.

```
data_SnP2S2
_chemical_formula_sum 'Sn1 P2 S2'
_space_group_name_H-M_alt 'P 4/m m m'
_space_group_IT_number 123
_space_group_name_Hall '-P 4 2'
_cell_length_a 4.631
_cell_length_b 4.631
_cell_length_c 4.587
_cell_angle_alpha 90.00
_cell_angle_beta 90.00
_cell_angle_gamma 90.00
loop_
_atom_site_label
_atom_site_fract_x
_atom_site_fract_y
_atom_site_fract_z
Sn1 0.000 0.000 0.000
P1 0.000 0.500 0.500
S1 0.500 0.500 0.000
S2 0.500 0.500 0.500
```

Entry S
Here is crystalline SnP2S2 at its relaxed geometry from Alexandria. Energies are from PBE.

```
data_SnP2S2
_chemical_formula_sum 'Sn1 P2 S2'
_space_group_name_H-M_alt 'P 4/m m m'
_space_group_IT_number 123
_space_group_name_Hall '-P 4 2'
_cell_length_a 5.137
_cell_length_b 5.137
_cell_length_c 4.837
_cell_angle_alpha 90.00
_cell_angle_beta 90.00
_cell_angle_gamma 90.00
loop_
_atom_site_label
_atom_site_fract_x
_atom_site_fract_y
_atom_site_fract_z
Sn1 0.000 0.000 0.000
P1 0.000 0.500 0.000
S1 0.000 0.000 0.500
S2 0.500 0.500 0.500
```

Which one sits at the top of the stability order? entry P does.

Entry P
Here is crystalline SnP2S at its relaxed geometry from Alexandria. Energies are from PBE.

```
data_SnP2S
_chemical_formula_sum 'Sn4 P8 S4'
_space_group_name_H-M_alt 'F m -3 m'
_space_group_IT_number 225
_space_group_name_Hall '-F 4 2 3'
_cell_length_a 6.604
_cell_length_b 6.604
_cell_length_c 6.604
_cell_angle_alpha 90.00
_cell_angle_beta 90.00
_cell_angle_gamma 90.00
loop_
_atom_site_label
_atom_site_fract_x
_atom_site_fract_y
_atom_site_fract_z
Sn1 0.000 0.000 0.000
P1 0.250 0.250 0.250
S1 0.000 0.000 0.500
```

Entry Q
Here is crystalline SnP2S at its relaxed geometry from Alexandria. Energies are from PBE.

```
data_SnP2S
_chemical_formula_sum 'Sn4 P8 S4'
_space_group_name_H-M_alt 'I -4 2 d'
_space_group_IT_number 122
_space_group_name_Hall 'I -4 2bw'
_cell_length_a 5.178
_cell_length_b 5.178
_cell_length_c 13.883
_cell_angle_alpha 90.00
_cell_angle_beta 90.00
_cell_angle_gamma 90.00
loop_
_atom_site_label
_atom_site_fract_x
_atom_site_fract_y
_atom_site_fract_z
Sn1 0.000 0.000 0.000
P1 0.192 0.250 0.625
S1 0.000 0.000 0.500
```

Which one sits at the top of the stability order? entry Q does.

Entry P
Here is crystalline TaSnP2S at its relaxed geometry from Alexandria. Energies are from PBE.

```
data_TaSnP2S
_chemical_formula_sum 'Ta1 Sn1 P2 S1'
_space_group_name_H-M_alt 'P 4/m m m'
_space_group_IT_number 123
_space_group_name_Hall '-P 4 2'
_cell_length_a 4.906
_cell_length_b 4.906
_cell_length_c 4.733
_cell_angle_alpha 90.00
_cell_angle_beta 90.00
_cell_angle_gamma 90.00
loop_
_atom_site_label
_atom_site_fract_x
_atom_site_fract_y
_atom_site_fract_z
Ta1 0.000 0.000 0.000
Sn1 0.500 0.500 0.500
P1 0.000 0.500 0.000
S1 0.000 0.000 0.500
```

Entry Q
Here is crystalline TaSnP2S at its relaxed geometry from Alexandria. Energies are from PBE.

```
data_TaSnP2S
_chemical_formula_sum 'Ta1 Sn1 P2 S1'
_space_group_name_H-M_alt 'P 4/m m m'
_space_group_IT_number 123
_space_group_name_Hall '-P 4 2'
_cell_length_a 4.875
_cell_length_b 4.875
_cell_length_c 4.848
_cell_angle_alpha 90.00
_cell_angle_beta 90.00
_cell_angle_gamma 90.00
loop_
_atom_site_label
_atom_site_fract_x
_atom_site_fract_y
_atom_site_fract_z
Ta1 0.000 0.000 0.000
Sn1 0.500 0.500 0.500
P1 0.000 0.500 0.500
S1 0.500 0.500 0.000
```

Which one sits at the top of the stability order? entry P does.

Entry P
Here is crystalline TcSnP2S at its relaxed geometry from Alexandria. Energies are from PBE.

```
data_TcSnP2S
_chemical_formula_sum 'Tc1 Sn1 P2 S1'
_space_group_name_H-M_alt 'P 4/m m m'
_space_group_IT_number 123
_space_group_name_Hall '-P 4 2'
_cell_length_a 4.492
_cell_length_b 4.492
_cell_length_c 5.341
_cell_angle_alpha 90.00
_cell_angle_beta 90.00
_cell_angle_gamma 90.00
loop_
_atom_site_label
_atom_site_fract_x
_atom_site_fract_y
_atom_site_fract_z
Tc1 0.000 0.000 0.000
Sn1 0.500 0.500 0.500
P1 0.000 0.500 0.000
S1 0.000 0.000 0.500
```

Entry Q
Here is crystalline TcSnP2S at its relaxed geometry from Alexandria. Energies are from PBE.

```
data_TcSnP2S
_chemical_formula_sum 'Tc1 Sn1 P2 S1'
_space_group_name_H-M_alt 'P 4/m m m'
_space_group_IT_number 123
_space_group_name_Hall '-P 4 2'
_cell_length_a 4.994
_cell_length_b 4.994
_cell_length_c 4.929
_cell_angle_alpha 90.00
_cell_angle_beta 90.00
_cell_angle_gamma 90.00
loop_
_atom_site_label
_atom_site_fract_x
_atom_site_fract_y
_atom_site_fract_z
Tc1 0.000 0.000 0.000
Sn1 0.500 0.500 0.500
P1 0.000 0.500 0.500
S1 0.500 0.500 0.000
```

Which one sits at the top of the stability order? entry P does.